Entry a
DFT (PBE) results for crystalline Pr12Sm6Dy at its relaxed geometry.

Calculated values
As for the crystal system: trigonal. The value obtained for the density of states at the Fermi level is 30.5 states/eV/cell.

Lattice parameters (Å, degrees): 8.7944 8.7944 8.7944 89.08 89.08 89.08
Element x y z (fractional)
Pr 0.0178 0.1923 0.3613
Pr 0.1923 0.3613 0.0178
Pr 0.2190 0.4640 0.5665
Pr 0.3613 0.0178 0.1923
Pr 0.4335 0.7810 0.5360
Pr 0.4640 0.5665 0.2190
Pr 0.5360 0.4335 0.7810
Pr 0.5665 0.2190 0.4640
Pr 0.6387 0.9822 0.8077
Pr 0.7810 0.5360 0.4335
Pr 0.8077 0.6387 0.9822
Pr 0.9822 0.8077 0.6387
Sm 0.0968 0.7019 0.2609
Sm 0.2609 0.0968 0.7019
Sm 0.2981 0.7391 0.9032
Sm 0.7019 0.2609 0.0968
Sm 0.7391 0.9032 0.2981
Sm 0.9032 0.2981 0.7391
Dy 0.0000 0.0000 0.0000

***

Entry b
DFT (PBE) results for crystalline Pr12Sm6Dy at its relaxed geometry.

Calculated values
As for the crystal system: trigonal. The value obtained for the density of states at the Fermi level is 31.6 states/eV/cell.

Lattice parameters (Å, degrees): 9.9814 9.9814 9.9814 111.95 111.95 111.95
Element x y z (fractional)
Pr 0.0000 0.3805 0.6195
Pr 0.0000 0.6195 0.3805
Pr 0.2260 0.2260 0.5858
Pr 0.2260 0.5858 0.2260
Pr 0.3805 0.0000 0.6195
Pr 0.3805 0.6195 0.0000
Pr 0.4142 0.7740 0.7740
Pr 0.5858 0.2260 0.2260
Pr 0.6195 0.0000 0.3805
Pr 0.6195 0.3805 0.0000
Pr 0.7740 0.4142 0.7740
Pr 0.7740 0.7740 0.4142
Sm 0.0207 0.7720 0.7720
Sm 0.2280 0.2280 0.9793
Sm 0.2280 0.9793 0.2280
Sm 0.7720 0.0207 0.7720
Sm 0.7720 0.7720 0.0207
Sm 0.9793 0.2280 0.2280
Dy 0.5000 0.5000 0.5000

***

Relative calculated energies, zero for the most stable structure, unit meV/atom: entry a 0; entry b 178.

***

Entry a
DFT (PBE) results for crystalline PrSm6Dy2 at its relaxed geometry.

Calculated values
As for the crystal system: triclinic. The value obtained for the density of states at the Fermi level is 13.4 states/eV/cell.

Lattice parameters (Å, degrees): 3.6245 8.8614 9.5734 90.24 100.91 90.09
Element x y z (fractional)
Pr 0.0000 0.0000 0.0000
Sm 0.1099 0.6648 0.2207
Sm 0.2215 0.3348 0.4430
Sm 0.3328 0.0005 0.6657
Sm 0.6672 0.9995 0.3343
Sm 0.7785 0.6652 0.5570
Sm 0.8901 0.3352 0.7793
Dy 0.4443 0.6649 0.8889
Dy 0.5557 0.3351 0.1111

***

Entry b
DFT (PBE) results for crystalline PrSm6Dy2 at its relaxed geometry.

Calculated values
As for the crystal system: monoclinic. The value obtained for the density of states at the Fermi level is 14.0 states/eV/cell.

Lattice parameters (Å, degrees): 7.5566 7.5566 6.1784 90.01 90.01 60.01
Element x y z (fractional)
Pr 0.0000 0.0000 0.0000
Sm 0.1875 0.1875 0.7092
Sm 0.1875 0.6236 0.7077
Sm 0.3764 0.8125 0.2923
Sm 0.6236 0.1875 0.7077
Sm 0.8125 0.3764 0.2923
Sm 0.8125 0.8125 0.2908
Dy 0.3336 0.3336 0.2160
Dy 0.6664 0.6664 0.7840

***

Relative calculated energies, zero for the most stable structure, unit meV/atom: entry a 0; entry b 186.

***

Entry a
DFT (PBE) results for crystalline Pr5Sm12Dy2 at its relaxed geometry.

Calculated values
As for the crystal system: monoclinic. The value obtained for the density of states at the Fermi level is 29.3 states/eV/cell.

Lattice parameters (Å, degrees): 10.1890 10.1890 8.8143 113.35 113.35 54.18
Element x y z (fractional)
Pr 0.0000 0.0000 0.0000
Pr 0.2413 0.2413 0.7948
Pr 0.2913 0.2913 0.2800
Pr 0.7087 0.7087 0.7200
Pr 0.7587 0.7587 0.2052
Sm 0.0394 0.6681 0.5938
Sm 0.0491 0.0491 0.6834
Sm 0.1438 0.6002 0.0427
Sm 0.3319 0.9606 0.4062
Sm 0.3998 0.8562 0.9573
Sm 0.4405 0.4405 0.7818
Sm 0.5595 0.5595 0.2182
Sm 0.6002 0.1438 0.0427
Sm 0.6681 0.0394 0.5938
Sm 0.8562 0.3998 0.9573
Sm 0.9509 0.9509 0.3166
Sm 0.9606 0.3319 0.4062
Dy 0.3272 0.6728 0.5000
Dy 0.6728 0.3272 0.5000

***

Entry b
DFT (PBE) results for crystalline Pr5Sm12Dy2 at its relaxed geometry.

Calculated values
As for the crystal system: monoclinic. The value obtained for the density of states at the Fermi level is 31.8 states/eV/cell.

Lattice parameters (Å, degrees): 13.9279 13.9279 5.1630 100.63 100.63 43.23
Element x y z (fractional)
Pr 0.0000 0.0000 0.0000
Pr 0.1983 0.1983 0.1985
Pr 0.3013 0.3013 0.8011
Pr 0.6987 0.6987 0.1989
Pr 0.8017 0.8017 0.8015
Sm 0.0553 0.5510 0.3030
Sm 0.0989 0.0989 0.5990
Sm 0.1568 0.6490 0.9026
Sm 0.3510 0.8432 0.0974
Sm 0.4015 0.4015 0.4011
Sm 0.4490 0.9447 0.6970
Sm 0.5510 0.0553 0.3030
Sm 0.5985 0.5985 0.5989
Sm 0.6490 0.1568 0.9026
Sm 0.8432 0.3510 0.0974
Sm 0.9011 0.9011 0.4010
Sm 0.9447 0.4490 0.6970
Dy 0.2395 0.7605 0.5000
Dy 0.7605 0.2395 0.5000

***

Relative calculated energies, zero for the most stable structure, unit meV/atom: entry a 88; entry b 0.

***

Entry a
DFT (PBE) results for crystalline Pr2SmDy at its relaxed geometry.

Calculated values
As for the crystal system: orthorhombic. The value obtained for the density of states at the Fermi level is 5.7 states/eV/cell.

Lattice parameters (Å, degrees): 5.6951 6.9739 6.9739 29.84 90.00 90.00
Element x y z (fractional)
Pr 0.0000 0.0000 0.0000
Pr 0.5000 0.1259 0.1259
Sm 0.5000 0.3804 0.3804
Dy 0.0000 0.7421 0.7421

***

Entry b
DFT (PBE) results for crystalline Pr2SmDy at its relaxed geometry.

Calculated values
As for the crystal system: tetragonal. The value obtained for the density of states at the Fermi level is 6.5 states/eV/cell.

Lattice parameters (Å, degrees): 5.1735 5.1735 5.1287 90.00 90.00 90.00
Element x y z (fractional)
Pr 0.0000 0.5000 0.0000
Pr 0.5000 0.0000 0.0000
Sm 0.0000 0.0000 0.5000
Dy 0.5000 0.5000 0.5000

***

Entry c
DFT (PBE) results for crystalline Pr2SmDy at its relaxed geometry.

Calculated values
As for the crystal system: tetragonal. The value obtained for the density of states at the Fermi level is 8.1 states/eV/cell.

Lattice parameters (Å, degrees): 4.2667 4.2667 7.5673 90.00 90.00 90.00
Element x y z (fractional)
Pr 0.0000 0.0000 0.2436
Pr 0.0000 0.0000 0.7564
Sm 0.5000 0.5000 0.5000
Dy 0.5000 0.5000 0.0000

***

Relative calculated energies, zero for the most stable structure, unit meV/atom: entry a 41; entry b 0; entry c 86.

***

Entry a
DFT (PBE) results for crystalline PrSmDy3 at its relaxed geometry.

Calculated values
As for the crystal system: triclinic. The value obtained for the density of states at the Fermi level is 13.4 states/eV/cell.

Lattice parameters (Å, degrees): 6.5348 6.5489 9.6395 90.25 109.01 119.82
Element x y z (fractional)
Pr 0.0000 0.0000 0.0000
Pr 0.0000 0.5000 0.5000
Sm 0.2951 0.4410 0.3099
Sm 0.7049 0.5590 0.6901
Dy 0.1309 0.1397 0.6875
Dy 0.3064 0.6522 0.9543
Dy 0.4492 0.0130 0.3120
Dy 0.5508 0.9870 0.6880
Dy 0.6936 0.3478 0.0457
Dy 0.8691 0.8603 0.3125

***

Entry b
DFT (PBE) results for crystalline PrSmDy3 at its relaxed geometry.

Calculated values
As for the crystal system: orthorhombic. The value obtained for the density of states at the Fermi level is 15.6 states/eV/cell.

Lattice parameters (Å, degrees): 8.6295 8.6295 11.6828 90.00 90.00 155.61
Element x y z (fractional)
Pr 0.1891 0.8109 0.7500
Pr 0.8109 0.1891 0.2500
Sm 0.4844 0.5156 0.2500
Sm 0.5156 0.4844 0.7500
Dy 0.1482 0.8518 0.2500
Dy 0.3444 0.6556 0.5026
Dy 0.3444 0.6556 0.9974
Dy 0.6556 0.3444 0.0026
Dy 0.6556 0.3444 0.4974
Dy 0.8518 0.1482 0.7500

***

Relative calculated energies, zero for the most stable structure, unit meV/atom: entry a 0; entry b 140.

***

Entry a
DFT (PBE) results for crystalline Pr4Sm2Dy5 at its relaxed geometry.

Calculated values
As for the crystal system: monoclinic. The value obtained for the density of states at the Fermi level is 16.2 states/eV/cell.

Lattice parameters (Å, degrees): 10.1043 10.1043 6.6924 90.90 90.90 32.98
Element x y z (fractional)
Pr 0.0209 0.0209 0.2846
Pr 0.3052 0.3052 0.9230
Pr 0.6948 0.6948 0.0770
Pr 0.9791 0.9791 0.7154
Sm 0.4020 0.4020 0.4461
Sm 0.5980 0.5980 0.5539
Dy 0.1310 0.1310 0.8913
Dy 0.2094 0.2094 0.4013
Dy 0.5000 0.5000 0.0000
Dy 0.7906 0.7906 0.5987
Dy 0.8690 0.8690 0.1087

***

Entry b
DFT (PBE) results for crystalline Pr4Sm2Dy5 at its relaxed geometry.

Calculated values
As for the crystal system: orthorhombic. The value obtained for the density of states at the Fermi level is 15.4 states/eV/cell.

Lattice parameters (Å, degrees): 12.6202 12.6202 12.6202 163.91 136.63 46.55
Element x y z (fractional)
Pr 0.0962 0.0962 0.0000
Pr 0.2068 0.5000 0.7068
Pr 0.7932 0.5000 0.2932
Pr 0.9038 0.9038 0.0000
Sm 0.2305 0.2305 0.0000
Sm 0.7695 0.7695 0.0000
Dy 0.1573 0.3537 0.8036
Dy 0.4499 0.6463 0.8036
Dy 0.5000 0.0000 0.5000
Dy 0.5501 0.3537 0.1964
Dy 0.8427 0.6463 0.1964

***

Relative calculated energies, zero for the most stable structure, unit meV/atom: entry a 0; entry b 160.

***

Entry a
DFT (PBE) results for crystalline PrSm6Dy3 at its relaxed geometry.

Calculated values
As for the crystal system: orthorhombic. The value obtained for the density of states at the Fermi level is 29.6 states/eV/cell.

Lattice parameters (Å, degrees): 11.7325 11.7325 6.4704 90.00 90.00 130.83
Element x y z (fractional)
Pr 0.1582 0.8418 0.5000
Pr 0.8418 0.1582 0.0000
Sm 0.0142 0.9858 0.2897
Sm 0.1076 0.5436 0.8232
Sm 0.2621 0.3800 0.0689
Sm 0.3010 0.6990 0.2930
Sm 0.3800 0.2621 0.5689
Sm 0.4564 0.8924 0.8232
Sm 0.5436 0.1076 0.3232
Sm 0.6200 0.7379 0.0689
Sm 0.6990 0.3010 0.7930
Sm 0.7379 0.6200 0.5689
Sm 0.8924 0.4564 0.3232
Sm 0.9858 0.0142 0.7897
Dy 0.0416 0.2964 0.4765
Dy 0.2964 0.0416 0.9765
Dy 0.4188 0.5812 0.5907
Dy 0.5812 0.4188 0.0907
Dy 0.7036 0.9584 0.4765
Dy 0.9584 0.7036 0.9765

***

Entry b
DFT (PBE) results for crystalline PrSm6Dy3 at its relaxed geometry.

Calculated values
As for the crystal system: orthorhombic. The value obtained for the density of states at the Fermi level is 29.2 states/eV/cell.

Lattice parameters (Å, degrees): 11.0966 11.0966 6.3070 90.00 90.00 120.24
Element x y z (fractional)
Pr 0.1960 0.8040 0.5000
Pr 0.8040 0.1960 0.0000
Sm 0.0383 0.9617 0.7322
Sm 0.0532 0.4713 0.2411
Sm 0.2802 0.7198 0.9708
Sm 0.2909 0.3742 0.0685
Sm 0.3742 0.2909 0.5685
Sm 0.4713 0.0532 0.7411
Sm 0.5287 0.9468 0.2411
Sm 0.6258 0.7091 0.0685
Sm 0.7091 0.6258 0.5685
Sm 0.7198 0.2802 0.4708
Sm 0.9468 0.5287 0.7411
Sm 0.9617 0.0383 0.2322
Dy 0.0589 0.2879 0.6513
Dy 0.2879 0.0589 0.1513
Dy 0.3850 0.6150 0.5309
Dy 0.6150 0.3850 0.0309
Dy 0.7121 0.9411 0.6513
Dy 0.9411 0.7121 0.1513

***

Relative calculated energies, zero for the most stable structure, unit meV/atom: entry a 0; entry b 22.

***

Entry a
DFT (PBE) results for crystalline Pr6SmDy2 at its relaxed geometry.

Calculated values
As for the crystal system: monoclinic. The value obtained for the density of states at the Fermi level is 26.9 states/eV/cell.

Lattice parameters (Å, degrees): 12.1663 12.1663 6.0962 104.38 104.38 124.00
Element x y z (fractional)
Pr 0.0717 0.7773 0.9175
Pr 0.1561 0.5998 0.3793
Pr 0.2227 0.9283 0.5825
Pr 0.3226 0.4266 0.3768
Pr 0.4002 0.8439 0.1207
Pr 0.4266 0.3226 0.8768
Pr 0.5734 0.6774 0.1232
Pr 0.5998 0.1561 0.8793
Pr 0.6774 0.5734 0.6232
Pr 0.7773 0.0717 0.4175
Pr 0.8439 0.4002 0.6207
Pr 0.9283 0.2227 0.0825
Sm 0.0086 0.9914 0.2500
Sm 0.9914 0.0086 0.7500
Dy 0.1634 0.4195 0.7948
Dy 0.4195 0.1634 0.2948
Dy 0.5805 0.8366 0.7052
Dy 0.8366 0.5805 0.2052

***

Entry b
DFT (PBE) results for crystalline Pr6SmDy2 at its relaxed geometry.

Calculated values
As for the crystal system: tetragonal. The value obtained for the density of states at the Fermi level is 31.4 states/eV/cell.

Lattice parameters (Å, degrees): 8.3381 8.3381 10.6048 90.00 90.00 90.00
Element x y z (fractional)
Pr 0.2384 0.2384 0.0000
Pr 0.2388 0.2388 0.3336
Pr 0.2388 0.2388 0.6664
Pr 0.2612 0.7388 0.1664
Pr 0.2612 0.7388 0.8336
Pr 0.2616 0.7384 0.5000
Pr 0.7384 0.2616 0.5000
Pr 0.7388 0.2612 0.1664
Pr 0.7388 0.2612 0.8336
Pr 0.7612 0.7612 0.3336
Pr 0.7612 0.7612 0.6664
Pr 0.7616 0.7616 0.0000
Sm 0.0000 0.0000 0.5000
Sm 0.5000 0.5000 0.0000
Dy 0.0000 0.0000 0.1654
Dy 0.0000 0.0000 0.8346
Dy 0.5000 0.5000 0.3346
Dy 0.5000 0.5000 0.6654

***

Relative calculated energies, zero for the most stable structure, unit meV/atom: entry a 0; entry b 457.